A plane-wave DFT calculation with PBE was carried out for a geometry-optimized CaGa3PdPt structure.

Structure (POSCAR):
```
CaGa3PdPt
1.0
-3.9193 -1.6666 -3.6402
4.3740 -6.6188 -1.6792
-4.7711 0.5787 4.8720
Ca Ga Pd Pt
2 6 2 2
Direct
0.7500 0.1994 0.3987
0.2500 0.8006 0.6013
0.2500 0.3165 0.6329
0.0000 0.2379 0.0000
0.5000 0.7621 0.0000
0.5000 0.2379 0.0000
0.0000 0.7621 0.0000
0.7500 0.6835 0.3671
0.2500 0.5392 0.0783
0.7500 0.4608 0.9217
0.2500 0.0927 0.1854
0.7500 0.9073 0.8146
```

Calculated values
Its formation enthalpy at 0 K is -50.7 kJ/mol of atoms. The calculation puts the magnetization at 0.0 Bohr magnetons per cell. Its final energy is -4.2448 eV/atom. For the density of states at the Fermi level, the calculation gives 4.2 states/eV/cell. The crystal system is orthorhombic.